[1]
# Tb2Nd2Cd | Alexandria | PBE-GGA | relaxed
data_Tb2Nd2Cd
_cell_length_a 8.569
_cell_length_b 9.404
_cell_length_c 8.585
_cell_angle_alpha 90.00
_cell_angle_beta 115.71
_cell_angle_gamma 90.00
_space_group_name_H-M_alt 'C 1 2/m 1'
_space_group_IT_number 12
loop_
_space_group_symop_operation_xyz
'x,y,z'
'-x,-y,-z'
'-x,y,-z'
'x,-y,z'
'x+1/2,y+1/2,z'
'-x+1/2,-y+1/2,-z'
'-x+1/2,y+1/2,-z'
'x+1/2,-y+1/2,z'
loop_
_atom_site_label
_atom_site_type_symbol
_atom_site_fract_x
_atom_site_fract_y
_atom_site_fract_z
_atom_site_occupancy
Tb1 Tb 0.076 0.185 0.221 1
Nd1 Nd 0.162 0.500 0.929 1
Nd2 Nd 0.215 0.000 0.618 1
Cd1 Cd 0.000 0.342 0.500 1
# **Polymorph energy (0 for the lowest one)**: 0.38 eV/f.u.
# **Calculated volume**: 623.4 Å³ per cell


[2]
# Tb4Nd3Cd | Alexandria | PBE-GGA | relaxed
data_Tb4Nd3Cd
_cell_length_a 11.371
_cell_length_b 7.134
_cell_length_c 6.264
_cell_angle_alpha 90.00
_cell_angle_beta 90.00
_cell_angle_gamma 90.00
_space_group_name_H-M_alt 'P m n 21'
_space_group_IT_number 31
loop_
_space_group_symop_operation_xyz
'x,y,z'
'-x+1/2,-y,z+1/2'
'-x,y,z'
'x+1/2,-y,z+1/2'
loop_
_atom_site_label
_atom_site_type_symbol
_atom_site_fract_x
_atom_site_fract_y
_atom_site_fract_z
_atom_site_occupancy
Tb1 Tb 0.000 0.109 0.000 1
Tb2 Tb 0.000 0.868 0.525 1
Tb3 Tb 0.240 0.875 0.180 1
Nd1 Nd 0.000 0.371 0.542 1
Nd2 Nd 0.234 0.381 0.186 1
Cd1 Cd 0.000 0.634 0.013 1
# **Polymorph energy (0 for the lowest one)**: 0.19 eV/f.u.
# **Calculated volume**: 508.2 Å³ per cell


[3]
# TbNd8Cd2 | Alexandria | PBE-GGA | relaxed
data_TbNd8Cd2
_cell_length_a 17.101
_cell_length_b 5.421
_cell_length_c 8.529
_cell_angle_alpha 90.00
_cell_angle_beta 114.45
_cell_angle_gamma 90.00
_space_group_name_H-M_alt 'C 1 2/m 1'
_space_group_IT_number 12
loop_
_space_group_symop_operation_xyz
'x,y,z'
'-x,-y,-z'
'-x,y,-z'
'x,-y,z'
'x+1/2,y+1/2,z'
'-x+1/2,-y+1/2,-z'
'-x+1/2,y+1/2,-z'
'x+1/2,-y+1/2,z'
loop_
_atom_site_label
_atom_site_type_symbol
_atom_site_fract_x
_atom_site_fract_y
_atom_site_fract_z
_atom_site_occupancy
Tb1 Tb 0.000 0.000 0.000 1
Nd1 Nd 0.053 0.500 0.739 1
Nd2 Nd 0.103 0.000 0.468 1
Nd3 Nd 0.148 0.500 0.206 1
Nd4 Nd 0.187 0.000 0.955 1
Cd1 Cd 0.222 0.500 0.631 1
# **Polymorph energy (0 for the lowest one)**: 0.00 eV/f.u.
# **Calculated volume**: 719.8 Å³ per cell


[4]
# TbNdCd | Alexandria | PBE-GGA | relaxed
data_TbNdCd
_cell_length_a 5.235
_cell_length_b 5.235
_cell_length_c 7.391
_cell_angle_alpha 90.00
_cell_angle_beta 90.00
_cell_angle_gamma 90.00
_space_group_name_H-M_alt 'I -4 m 2'
_space_group_IT_number 119
_space_group_name_Hall 'I -4 -2'
loop_
_atom_site_label
_atom_site_type_symbol
_atom_site_fract_x
_atom_site_fract_y
_atom_site_fract_z
_atom_site_occupancy
Tb1 Tb 0.000 0.000 0.000 1
Nd1 Nd 0.000 0.000 0.500 1
Cd1 Cd 0.000 0.500 0.250 1
# **Polymorph energy (0 for the lowest one)**: 0.93 eV/f.u.
# **Calculated volume**: 202.6 Å³ per cell


[5]
# Tb4Nd4Cd | Alexandria | PBE-GGA | relaxed
data_Tb4Nd4Cd
_cell_length_a 10.742
_cell_length_b 10.742
_cell_length_c 5.009
_cell_angle_alpha 90.00
_cell_angle_beta 90.00
_cell_angle_gamma 90.00
_space_group_name_H-M_alt 'I 4/m m m'
_space_group_IT_number 139
_space_group_name_Hall '-I 4 2'
loop_
_atom_site_label
_atom_site_type_symbol
_atom_site_fract_x
_atom_site_fract_y
_atom_site_fract_z
_atom_site_occupancy
Tb1 Tb 0.000 0.334 0.000 1
Nd1 Nd 0.164 0.164 0.500 1
Cd1 Cd 0.000 0.000 0.000 1
# **Calculated volume**: 578.0 Å³ per cell


[6]
# Tb2Nd5Cd4 | Alexandria | PBE-GGA | relaxed
data_Tb2Nd5Cd4
_cell_length_a 23.240
_cell_length_b 3.659
_cell_length_c 8.903
_cell_angle_alpha 90.00
_cell_angle_beta 111.94
_cell_angle_gamma 90.00
_space_group_name_H-M_alt 'C 1 2/m 1'
_space_group_IT_number 12
loop_
_space_group_symop_operation_xyz
'x,y,z'
'-x,-y,-z'
'-x,y,-z'
'x,-y,z'
'x+1/2,y+1/2,z'
'-x+1/2,-y+1/2,-z'
'-x+1/2,y+1/2,-z'
'x+1/2,-y+1/2,z'
loop_
_atom_site_label
_atom_site_type_symbol
_atom_site_fract_x
_atom_site_fract_y
_atom_site_fract_z
_atom_site_occupancy
Tb1 Tb 0.084 0.000 0.088 1
Nd1 Nd 0.000 0.000 0.500 1
Nd2 Nd 0.153 0.500 0.449 1
Nd3 Nd 0.157 0.500 0.869 1
Cd1 Cd 0.002 0.500 0.793 1
Cd2 Cd 0.222 0.000 0.228 1
# **Calculated volume**: 702.3 Å³ per cell


[7]
# Tb2Nd7Cd2 | Alexandria | PBE-GGA | relaxed
data_Tb2Nd7Cd2
_cell_length_a 8.884
_cell_length_b 9.852
_cell_length_c 8.674
_cell_angle_alpha 90.00
_cell_angle_beta 109.69
_cell_angle_gamma 90.00
_space_group_name_H-M_alt 'C 1 2/m 1'
_space_group_IT_number 12
loop_
_space_group_symop_operation_xyz
'x,y,z'
'-x,-y,-z'
'-x,y,-z'
'x,-y,z'
'x+1/2,y+1/2,z'
'-x+1/2,-y+1/2,-z'
'-x+1/2,y+1/2,-z'
'x+1/2,-y+1/2,z'
loop_
_atom_site_label
_atom_site_type_symbol
_atom_site_fract_x
_atom_site_fract_y
_atom_site_fract_z
_atom_site_occupancy
Tb1 Tb 0.000 0.177 0.000 1
Nd1 Nd 0.000 0.500 0.500 1
Nd2 Nd 0.134 0.500 0.916 1
Nd3 Nd 0.199 0.176 0.673 1
Cd1 Cd 0.120 0.000 0.323 1
# **Calculated volume**: 714.7 Å³ per cell


[8]
# Tb3Nd2Cd6 | Alexandria | PBE-GGA | relaxed
data_Tb3Nd2Cd6
_cell_length_a 5.027
_cell_length_b 5.027
_cell_length_c 28.090
_cell_angle_alpha 90.00
_cell_angle_beta 90.00
_cell_angle_gamma 90.00
_space_group_name_H-M_alt 'I 4/m m m'
_space_group_IT_number 139
_space_group_name_Hall '-I 4 2'
loop_
_atom_site_label
_atom_site_type_symbol
_atom_site_fract_x
_atom_site_fract_y
_atom_site_fract_z
_atom_site_occupancy
Tb1 Tb 0.000 0.000 0.000 1
Tb2 Tb 0.000 0.000 0.134 1
Nd1 Nd 0.000 0.000 0.364 1
Cd1 Cd 0.000 0.000 0.248 1
Cd2 Cd 0.000 0.500 0.064 1
# **Calculated volume**: 709.8 Å³ per cell


[9]
# TbNd7Cd2 | Alexandria | PBE-GGA | relaxed
data_TbNd7Cd2
_cell_length_a 9.104
_cell_length_b 16.270
_cell_length_c 5.360
_cell_angle_alpha 90.00
_cell_angle_beta 90.00
_cell_angle_gamma 90.00
_space_group_name_H-M_alt 'C m m m'
_space_group_IT_number 65
_space_group_name_Hall '-C 2 2'
loop_
_atom_site_label
_atom_site_type_symbol
_atom_site_fract_x
_atom_site_fract_y
_atom_site_fract_z
_atom_site_occupancy
Tb1 Tb 0.000 0.000 0.000 1
Nd1 Nd 0.000 0.222 0.000 1
Nd2 Nd 0.000 0.500 0.500 1
Nd3 Nd 0.183 0.117 0.500 1
Cd1 Cd 0.000 0.304 0.500 1
# **Calculated volume**: 794.0 Å³ per cell


[10]
# Tb3NdCd | Alexandria | PBE-GGA | relaxed
data_Tb3NdCd
_cell_length_a 3.578
_cell_length_b 5.581
_cell_length_c 15.588
_cell_angle_alpha 90.00
_cell_angle_beta 90.00
_cell_angle_gamma 90.00
_space_group_name_H-M_alt 'I m m 2'
_space_group_IT_number 44
loop_
_space_group_symop_operation_xyz
'x,y,z'
'-x,-y,z'
'-x,y,z'
'x,-y,z'
'x+1/2,y+1/2,z+1/2'
'-x+1/2,-y+1/2,z+1/2'
'-x+1/2,y+1/2,z+1/2'
'x+1/2,-y+1/2,z+1/2'
loop_
_atom_site_label
_atom_site_type_symbol
_atom_site_fract_x
_atom_site_fract_y
_atom_site_fract_z
_atom_site_occupancy
Tb1 Tb 0.000 0.000 0.000 1
Tb2 Tb 0.000 0.000 0.428 1
Tb3 Tb 0.000 0.500 0.119 1
Nd1 Nd 0.000 0.500 0.715 1
Cd1 Cd 0.000 0.500 0.320 1
# **Polymorph energy (0 for the lowest one)**: 0.00 eV/f.u.
# **Calculated volume**: 311.3 Å³ per cell


[11]
# Tb3Nd5Cd2 | Alexandria | PBE-GGA | relaxed
data_Tb3Nd5Cd2
_cell_length_a 8.469
_cell_length_b 21.605
_cell_length_c 7.012
_cell_angle_alpha 90.00
_cell_angle_beta 90.00
_cell_angle_gamma 90.00
_space_group_name_H-M_alt 'I b a m'
_space_group_IT_number 72
_space_group_name_Hall '-I 2 2c'
loop_
_atom_site_label
_atom_site_type_symbol
_atom_site_fract_x
_atom_site_fract_y
_atom_site_fract_z
_atom_site_occupancy
Tb1 Tb 0.000 0.000 0.250 1
Tb2 Tb 0.180 0.379 0.000 1
Nd1 Nd 0.000 0.165 0.250 1
Nd2 Nd 0.000 0.500 0.250 1
Nd3 Nd 0.170 0.284 0.500 1
Cd1 Cd 0.246 0.425 0.500 1
# **Calculated volume**: 1283.0 Å³ per cell


[12]
# Tb6NdCd2 | Alexandria | PBE-GGA | relaxed
data_Tb6NdCd2
_cell_length_a 12.694
_cell_length_b 3.765
_cell_length_c 11.969
_cell_angle_alpha 90.00
_cell_angle_beta 108.30
_cell_angle_gamma 90.00
_space_group_name_H-M_alt 'C 1 2/m 1'
_space_group_IT_number 12
loop_
_space_group_symop_operation_xyz
'x,y,z'
'-x,-y,-z'
'-x,y,-z'
'x,-y,z'
'x+1/2,y+1/2,z'
'-x+1/2,-y+1/2,-z'
'-x+1/2,y+1/2,-z'
'x+1/2,-y+1/2,z'
loop_
_atom_site_label
_atom_site_type_symbol
_atom_site_fract_x
_atom_site_fract_y
_atom_site_fract_z
_atom_site_occupancy
Tb1 Tb 0.015 0.000 0.342 1
Tb2 Tb 0.185 0.500 0.876 1
Tb3 Tb 0.188 0.500 0.583 1
Nd1 Nd 0.000 0.000 0.000 1
Cd1 Cd 0.149 0.500 0.215 1
# **Polymorph energy (0 for the lowest one)**: 0.00 eV/f.u.
# **Calculated volume**: 543.0 Å³ per cell


Number 1: ΔH_f (0 K) -0.039 eV/atom. Number 2: ΔH_f (0 K) -0.045 eV/atom. Number 3: ΔH_f (0 K) -0.072 eV/atom. Number 4: ΔH_f (0 K) 0.093 eV/atom. Number 5: ΔH_f (0 K) -0.019 eV/atom. Number 6: ΔH_f (0 K) -0.025 eV/atom. Number 7: ΔH_f (0 K) -0.051 eV/atom. Number 8: ΔH_f (0 K) 0.088 eV/atom. Number 9: ΔH_f (0 K) 0.372 eV/atom. Number 10: ΔH_f (0 K) -0.046 eV/atom. Number 11: ΔH_f (0 K) 0.007 eV/atom. Number 12: ΔH_f (0 K) -0.130 eV/atom.